A plane-wave DFT calculation with GGA-PBE was carried out for a relaxed Ti2VB crystal.

Results
The formation energy comes out at 230 meV per atom. The magnetic moment is 3.91 Bohr magnetons per cell. Its density of states at the Fermi level is 0.944 states/eV/atom.

Unit cell a=3.0175 b=3.0175 c=22.7983 alpha=90.00 beta=90.00 gamma=120.00
Space group R-3m (No. 166, hexagonal axes)
Symmetry-distinct sites (fractional):
Ti  0.0000  0.0000  0.1112
V  0.0000  0.0000  0.0000
B  0.0000  0.0000  0.5000

A plane-wave DFT calculation with GGA-PBE was carried out for a relaxed SnBrN3 crystal.

Results
The magnetic moment is 0.00 Bohr magnetons per cell. The calculation puts the uncorrected formation energy at 2.273 eV/atom. Its density of states at the Fermi level is 0.611 states/eV/atom.

Unit cell a=3.9830 b=3.9830 c=3.9830 alpha=90.00 beta=90.00 gamma=90.00
Space group Pm-3m (No. 221)
Symmetry-distinct sites (fractional):
Sn  0.0000  0.0000  0.0000
Br  0.5000  0.5000  0.5000
N  0.0000  0.5000  0.5000